# LaYTcB2

LaYTcB2 after structural relaxation (GGA-PBE, the Alexandria database).

Output
magnetization	0.000	μB per cell
E_form	0.670	eV per atom
symmetry	No. 123

Unit cell a=4.3932 b=4.9709 c=4.3932 alpha=90.00 beta=90.00 gamma=90.00
Atoms (fractional coordinates):
1 Tc 0.0000 0.0000 0.0000
2 La 0.0000 0.5000 0.0000
3 B 0.0000 0.0000 0.5000
4 Y 0.5000 0.5000 0.5000
5 B 0.5000 0.0000 0.0000